1.
Here is crystalline Sm8ZnRu2 at its relaxed geometry from Alexandria via LeMat-Bulk. Energies are from GGA-PBE.

Values from the calculation:
- SG: Cm
- Energy relative to the elements: -0.100 eV per atom
- ρ: 7705 kg/m³
- Magnetization: 0.0 μB/f.u.

abc: 7.925 7.925 5.665
angles: 98.05 98.05 112.95
Fractional positions:
Sm: 0.000 0.000 0.000
Sm: 0.049 0.307 0.618
Sm: 0.134 0.619 0.195
Sm: 0.307 0.049 0.618
Sm: 0.449 0.706 0.772
Sm: 0.619 0.134 0.195
Sm: 0.706 0.449 0.772
Sm: 0.763 0.763 0.394
Zn: 0.383 0.383 0.182
Ru: 0.075 0.685 0.699
Ru: 0.685 0.075 0.699

=====

2.
Here is crystalline Ba2TlSi2 at its relaxed geometry from Alexandria via LeMat-Bulk. Energies are from GGA-PBE.

Values from the calculation:
- SG: Cmmm
- ρ: 5505 kg/m³
- Formation energy from raw total energies: -0.370 eV/atom
- Magnetization: 0.0 μB/f.u.

abc: 8.585 8.585 4.788
angles: 90.00 90.00 152.78
Fractional positions:
Ba: 0.132 0.868 0.000
Ba: 0.868 0.132 0.000
Tl: 0.500 0.500 0.500
Si: 0.289 0.711 0.500
Si: 0.711 0.289 0.500

=====

3.
Here is crystalline Rb2BeCrCl6 at its relaxed geometry from Alexandria via LeMat-Bulk. Energies are from GGA-PBE.

Values from the calculation:
- SG: I4/mmm
- ρ: 3008 kg/m³
- Formation energy from raw total energies: -1.359 eV/atom
- Magnetization: 4.0 μB/f.u.

abc: 7.156 7.156 7.156
angles: 123.18 123.18 84.57
Fractional positions:
Rb: 0.250 0.750 0.500
Rb: 0.750 0.250 0.500
Be: 0.000 0.000 0.000
Cr: 0.500 0.500 0.000
Cl: 0.227 0.227 0.455
Cl: 0.227 0.773 0.000
Cl: 0.277 0.277 0.000
Cl: 0.723 0.723 0.000
Cl: 0.773 0.227 0.000
Cl: 0.773 0.773 0.545

=====

4.
Here is crystalline Tm3Ge4 at its relaxed geometry from Alexandria via LeMat-Bulk. Energies are from GGA-PBE.

Values from the calculation:
- SG: Cmcm
- Energy relative to the elements: -0.760 eV per atom
- ρ: 8812 kg/m³
- Magnetization: 0.0 μB/f.u.

abc: 5.655 5.655 14.172
angles: 90.00 90.00 138.47
Fractional positions:
Tm: 0.048 0.952 0.750
Tm: 0.331 0.669 0.597
Tm: 0.331 0.669 0.903
Tm: 0.669 0.331 0.097
Tm: 0.669 0.331 0.403
Tm: 0.952 0.048 0.250
Ge: 0.000 0.000 0.000
Ge: 0.000 0.000 0.500
Ge: 0.222 0.778 0.250
Ge: 0.379 0.621 0.108
Ge: 0.379 0.621 0.392
Ge: 0.621 0.379 0.608
Ge: 0.621 0.379 0.892
Ge: 0.778 0.222 0.750

=====

- Which of these has the lowest ρ?
  Rb2BeCrCl6